Record 1
An optimized crystal structure of CaPrSb2O6, computed with GGA-PBE.

Space group ... No. 31
Excess energy over the best structure of this formula in the dataset ... 0.000 eV/atom
Density ... 5.7 g/cm3
Spin magnetization ... 0.00 μB/f.u.

a b c (Å): 5.963 6.328 8.031
angles (deg): 90.00 90.00 90.00
Atoms (fractional coordinates):
Ca1 0.516 0.201 0.000
Ca2 0.016 0.799 0.500
Pr1 0.017 0.679 0.000
Pr2 0.517 0.321 0.500
Sb1 0.020 0.229 0.247
Sb2 0.020 0.229 0.753
Sb3 0.520 0.771 0.747
Sb4 0.520 0.771 0.253
O1 0.152 0.172 0.500
O2 0.144 0.942 0.194
O3 0.144 0.942 0.806
O4 0.298 0.400 0.805
O5 0.298 0.400 0.195
O6 0.391 0.695 0.500
O7 0.652 0.828 0.000
O8 0.644 0.058 0.306
O9 0.644 0.058 0.694
O10 0.798 0.600 0.305
O11 0.798 0.600 0.695
O12 0.891 0.305 0.000

Record 2
An optimized crystal structure of Cs2Cd2Bi, computed with GGA-PBE.

Space group ... No. 139
Excess energy over the best structure of this formula in the dataset ... 0.107 eV/atom
Density ... 4.5 g/cm3
Spin magnetization ... 0.00 μB/f.u.
E_form ... -109 meV/atom

a b c (Å): 7.602 7.602 6.996
angles (deg): 57.09 57.09 90.00
Atoms (fractional coordinates):
Cs1 0.750 0.250 0.500
Cs2 0.250 0.750 0.500
Bi1 0.000 0.000 0.000
Cd1 0.334 0.334 0.332
Cd2 0.666 0.666 0.668

Record 3
An optimized crystal structure of Nd3Y4Er3, computed with GGA-PBE.

Space group ... No. 38
Density ... 6.5 g/cm3
Spin magnetization ... 0.00 μB/f.u.
E_form ... 113 meV/atom

a b c (Å): 3.698 9.467 9.466
angles (deg): 90.39 90.00 90.00
Atoms (fractional coordinates):
Nd1 0.500 0.827 0.173
Nd2 0.500 0.326 0.327
Nd3 0.500 0.673 0.674
Y1 0.000 0.626 0.374
Y2 0.000 0.373 0.627
Y3 0.000 0.878 0.872
Y4 0.000 0.128 0.122
Er1 0.000 0.494 0.998
Er2 0.000 0.002 0.506
Er3 0.500 0.174 0.826

Record 4
An optimized crystal structure of Pm4CuIr, computed with GGA-PBE.

Space group ... No. 216
Excess energy over the best structure of this formula in the dataset ... 0.000 eV/atom
Density ... 8.5 g/cm3
Spin magnetization ... 0.00 μB/f.u.
E_form ... -323 meV/atom

a b c (Å): 9.734 9.734 9.734
angles (deg): 60.00 60.00 60.00
Atoms (fractional coordinates):
Pm1 0.395 0.395 0.395
Pm2 0.814 0.395 0.395
Pm3 0.395 0.814 0.395
Pm4 0.395 0.395 0.814
Pm5 0.559 0.559 0.941
Pm6 0.941 0.941 0.559
Pm7 0.559 0.941 0.559
Pm8 0.941 0.559 0.941
Pm9 0.941 0.559 0.559
Pm10 0.559 0.941 0.941
Pm11 0.188 0.188 0.812
Pm12 0.812 0.812 0.188
Pm13 0.188 0.812 0.188
Pm14 0.812 0.188 0.812
Pm15 0.812 0.188 0.188
Pm16 0.188 0.812 0.812
Cu1 0.158 0.158 0.158
Cu2 0.525 0.158 0.158
Cu3 0.158 0.525 0.158
Cu4 0.158 0.158 0.525
Ir1 0.607 0.607 0.607
Ir2 0.179 0.607 0.607
Ir3 0.607 0.179 0.607
Ir4 0.607 0.607 0.179